1.
Here is a geometry-optimized Sn2WI2 structure from Alexandria. Energies are from GGA-PBE.

Properties
Offset from the most stable computed form (eV/f.u.): 0.00
E_form (uncorrected) (eV per formula unit): 3.73
Fermi-level density of states (states/eV/atom): 1.457

Unit cell a=7.815 b=7.815 c=5.857 alpha=90.00 beta=90.00 gamma=90.00
Element x y z (fractional)
Sn (0.237, 0.263, 0.000)
I (0.680, 0.820, 0.500)
I (0.820, 0.320, 0.500)
Sn (0.263, 0.763, 0.000)
Sn (0.763, 0.737, 0.000)
Sn (0.737, 0.237, 0.000)
I (0.320, 0.180, 0.500)
W (0.500, 0.500, 0.000)
W (0.000, 0.000, 0.000)
I (0.180, 0.680, 0.500)

***

2.
Here is a geometry-optimized Sn2WI structure from Alexandria. Energies are from GGA-PBE.

Properties
Offset from the most stable computed form (eV/f.u.): 0.83
E_form (uncorrected) (eV per formula unit): 4.91
Fermi-level density of states (states/eV/atom): 1.381

Unit cell a=5.124 b=5.124 c=5.124 alpha=60.00 beta=60.00 gamma=60.00
Element x y z (fractional)
I (0.000, 0.000, 0.000)
W (0.500, 0.500, 0.500)
Sn (0.750, 0.750, 0.750)
Sn (0.250, 0.250, 0.250)

***

3.
Here is a geometry-optimized SnWI3 structure from Alexandria. Energies are from GGA-PBE.

Properties
Offset from the most stable computed form (eV/f.u.): 0.00
E_form (uncorrected) (eV per formula unit): 3.61
Fermi-level density of states (states/eV/atom): 1.028

Unit cell a=5.546 b=5.546 c=5.546 alpha=90.00 beta=90.00 gamma=90.00
Element x y z (fractional)
I (0.000, 0.000, 0.500)
W (0.000, 0.000, 0.000)
I (0.500, 0.000, 0.000)
Sn (0.500, 0.500, 0.500)
I (0.000, 0.500, 0.000)

***

4.
Here is a geometry-optimized SnW2I structure from Alexandria. Energies are from GGA-PBE.

Properties
Offset from the most stable computed form (eV/f.u.): 1.00
E_form (uncorrected) (eV per formula unit): 5.77
Fermi-level density of states (states/eV/atom): 1.091

Unit cell a=4.407 b=4.407 c=9.822 alpha=77.04 beta=77.04 gamma=90.00
Element x y z (fractional)
W (0.375, 0.306, 0.750)
W (0.694, 0.125, 0.250)
I (0.750, 0.250, 0.500)
W (0.875, 0.944, 0.750)
W (0.056, 0.625, 0.250)
I (0.000, 0.000, 0.000)
Sn (0.500, 0.500, 0.000)
Sn (0.250, 0.750, 0.500)

***

5.
Here is a geometry-optimized Sn2WI2 structure from Alexandria. Energies are from GGA-PBE.

Properties
Offset from the most stable computed form (eV/f.u.): 2.15
E_form (uncorrected) (eV per formula unit): 5.88
Fermi-level density of states (states/eV/atom): 0.382

Unit cell a=4.086 b=4.086 c=11.138 alpha=79.43 beta=79.43 gamma=90.00
Element x y z (fractional)
W (0.000, 0.000, 0.000)
I (0.250, 0.750, 0.500)
Sn (0.432, 0.432, 0.135)
Sn (0.568, 0.568, 0.865)
I (0.750, 0.250, 0.500)

***

6.
Here is a geometry-optimized SnW2I structure from Alexandria. Energies are from GGA-PBE.

Properties
Offset from the most stable computed form (eV/f.u.): 0.00
E_form (uncorrected) (eV per formula unit): 4.76
Fermi-level density of states (states/eV/atom): 1.141

Unit cell a=4.734 b=4.734 c=4.734 alpha=60.00 beta=60.00 gamma=60.00
Element x y z (fractional)
I (0.500, 0.500, 0.500)
Sn (0.000, 0.000, 0.000)
W (0.250, 0.250, 0.250)
W (0.750, 0.750, 0.750)

***

7.
Here is a geometry-optimized ZnSnWI2 structure from Alexandria. Energies are from GGA-PBE.

Properties
E_form (uncorrected) (eV per formula unit): 7.08
Fermi-level density of states (states/eV/atom): 1.306

Unit cell a=5.570 b=5.220 c=5.570 alpha=90.00 beta=90.00 gamma=90.00
Element x y z (fractional)
Zn (0.000, 0.000, 0.000)
I (0.000, 0.000, 0.500)
I (0.500, 0.000, 0.000)
W (0.500, 0.500, 0.500)
Sn (0.000, 0.500, 0.000)

***

8.
Here is a geometry-optimized Y2Sn2I structure from Alexandria. Energies are from GGA-PBE.

Properties
E_form (uncorrected) (eV per formula unit): -2.30
Fermi-level density of states (states/eV/atom): 0.884

Unit cell a=8.933 b=8.933 c=3.755 alpha=90.00 beta=90.00 gamma=90.00
Element x y z (fractional)
Y (0.685, 0.815, 0.500)
I (0.500, 0.500, 0.000)
Sn (0.112, 0.388, 0.000)
Sn (0.888, 0.612, 0.000)
I (0.000, 0.000, 0.000)
Sn (0.388, 0.888, 0.000)
Y (0.185, 0.685, 0.500)
Y (0.815, 0.315, 0.500)
Sn (0.612, 0.112, 0.000)
Y (0.315, 0.185, 0.500)

***

9.
Here is a geometry-optimized YSnI5 structure from Alexandria. Energies are from GGA-PBE.

Properties
E_form (uncorrected) (eV per formula unit): -6.79
Fermi-level density of states (states/eV/atom): 0.000

Unit cell a=4.469 b=9.206 c=15.019 alpha=94.31 beta=90.00 gamma=90.00
Element x y z (fractional)
I (0.250, 0.081, 0.316)
I (0.750, 0.612, 0.296)
I (0.250, 0.388, 0.704)
Sn (0.250, 0.901, 0.867)
Y (0.750, 0.592, 0.649)
Y (0.250, 0.408, 0.351)
I (0.750, 0.145, 0.929)
Sn (0.750, 0.099, 0.133)
I (0.250, 0.678, 0.514)
I (0.750, 0.322, 0.486)
I (0.750, 0.919, 0.684)
I (0.750, 0.645, 0.864)
I (0.250, 0.855, 0.071)
I (0.250, 0.355, 0.136)

***

10.
Here is a geometry-optimized Y4SnI5 structure from Alexandria. Energies are from GGA-PBE.

Properties
E_form (uncorrected) (eV per formula unit): -10.88
Fermi-level density of states (states/eV/atom): 0.497

Unit cell a=4.308 b=8.960 c=9.851 alpha=101.87 beta=102.63 gamma=90.00
Element x y z (fractional)
Y (0.999, 0.775, 0.997)
I (0.172, 0.829, 0.343)
I (0.828, 0.171, 0.657)
Sn (0.500, 0.000, 0.000)
Y (0.346, 0.924, 0.691)
I (0.832, 0.668, 0.665)
Y (0.001, 0.225, 0.003)
I (0.168, 0.332, 0.335)
I (0.500, 0.500, 0.000)
Y (0.654, 0.076, 0.309)

***

11.
Here is a geometry-optimized YSn2I structure from Alexandria. Energies are from GGA-PBE.

Properties
Offset from the most stable computed form (eV/f.u.): 0.00
E_form (uncorrected) (eV per formula unit): -0.92
Fermi-level density of states (states/eV/atom): 0.811

Unit cell a=4.358 b=4.358 c=13.198 alpha=80.50 beta=80.50 gamma=90.00
Element x y z (fractional)
Sn (0.875, 0.860, 0.750)
Sn (0.610, 0.125, 0.250)
Sn (0.375, 0.390, 0.750)
Y (0.500, 0.500, 0.000)
I (0.000, 0.000, 0.000)
Sn (0.140, 0.625, 0.250)
I (0.750, 0.250, 0.500)
Y (0.250, 0.750, 0.500)

***

12.
Here is a geometry-optimized YSn2I2 structure from Alexandria. Energies are from GGA-PBE.

Properties
Offset from the most stable computed form (eV/f.u.): 0.00
E_form (uncorrected) (eV per formula unit): -0.86
Fermi-level density of states (states/eV/atom): 0.585

Unit cell a=8.056 b=8.056 c=5.813 alpha=90.00 beta=90.00 gamma=90.00
Element x y z (fractional)
I (0.224, 0.276, 0.500)
Sn (0.129, 0.371, 0.000)
Sn (0.371, 0.871, 0.000)
Sn (0.871, 0.629, 0.000)
I (0.276, 0.776, 0.500)
Y (0.000, 0.000, 0.000)
I (0.724, 0.224, 0.500)
Y (0.500, 0.500, 0.000)
I (0.776, 0.724, 0.500)
Sn (0.629, 0.129, 0.000)

***

13.
Here is a geometry-optimized Y2Sn2I structure from Alexandria. Energies are from GGA-PBE.

Properties
E_form (uncorrected) (eV per formula unit): -3.57
Fermi-level density of states (states/eV/atom): 0.564

Unit cell a=8.372 b=8.372 c=4.221 alpha=90.00 beta=90.00 gamma=90.00
Element x y z (fractional)
Sn (0.621, 0.879, 0.500)
Y (0.325, 0.825, 0.000)
Y (0.675, 0.175, 0.000)
Y (0.825, 0.675, 0.000)
Sn (0.379, 0.121, 0.500)
I (0.500, 0.500, 0.000)
Sn (0.121, 0.621, 0.500)
I (0.000, 0.000, 0.000)
Y (0.175, 0.325, 0.000)
Sn (0.879, 0.379, 0.500)

***

14.
Here is a geometry-optimized YSn2I2 structure from Alexandria. Energies are from GGA-PBE.

Properties
Offset from the most stable computed form (eV/f.u.): 1.92
E_form (uncorrected) (eV per formula unit): 1.06
Fermi-level density of states (states/eV/atom): 0.868

Unit cell a=5.181 b=5.181 c=7.642 alpha=70.19 beta=70.19 gamma=90.00
Element x y z (fractional)
I (0.250, 0.750, 0.500)
Sn (0.603, 0.603, 0.794)
Sn (0.397, 0.397, 0.206)
Y (0.000, 0.000, 0.000)
I (0.750, 0.250, 0.500)

***

15.
Here is a geometry-optimized Y2Sn2I structure from Alexandria. Energies are from GGA-PBE.

Properties
E_form (uncorrected) (eV per formula unit): -1.85
Fermi-level density of states (states/eV/atom): 1.560

Unit cell a=5.755 b=5.755 c=6.554 alpha=63.96 beta=63.96 gamma=90.00
Element x y z (fractional)
Sn (0.365, 0.365, 0.271)
Y (0.750, 0.250, 0.500)
Y (0.250, 0.750, 0.500)
I (0.000, 0.000, 0.000)
Sn (0.635, 0.635, 0.729)

***

16.
Here is a geometry-optimized YSn2I structure from Alexandria. Energies are from GGA-PBE.

Properties
Offset from the most stable computed form (eV/f.u.): 1.14
E_form (uncorrected) (eV per formula unit): 0.22
Fermi-level density of states (states/eV/atom): 0.870

Unit cell a=5.550 b=5.550 c=5.550 alpha=60.00 beta=60.00 gamma=60.00
Element x y z (fractional)
Y (0.000, 0.000, 0.000)
I (0.500, 0.500, 0.500)
Sn (0.250, 0.250, 0.250)
Sn (0.750, 0.750, 0.750)

***

17.
Here is a geometry-optimized Y3SnI structure from Alexandria. Energies are from GGA-PBE.

Properties
Offset from the most stable computed form (eV/f.u.): 0.00
E_form (uncorrected) (eV per formula unit): 0.38
Fermi-level density of states (states/eV/atom): 1.823

Unit cell a=5.782 b=5.782 c=5.782 alpha=90.00 beta=90.00 gamma=90.00
Element x y z (fractional)
Y (0.000, 0.500, 0.000)
I (0.500, 0.500, 0.500)
Y (0.000, 0.000, 0.500)
Y (0.500, 0.000, 0.000)
Sn (0.000, 0.000, 0.000)

***

18.
Here is a geometry-optimized Zn3SnI structure from Alexandria. Energies are from GGA-PBE.

Properties
Offset from the most stable computed form (eV/f.u.): 0.00
E_form (uncorrected) (eV per formula unit): 0.64
Fermi-level density of states (states/eV/atom): 0.242

Unit cell a=5.294 b=5.294 c=5.294 alpha=90.00 beta=90.00 gamma=90.00
Element x y z (fractional)
Zn (0.500, 0.000, 0.000)
Zn (0.000, 0.500, 0.000)
Zn (0.000, 0.000, 0.500)
I (0.500, 0.500, 0.500)
Sn (0.000, 0.000, 0.000)

***

19.
Here is a geometry-optimized ZnSn2I structure from Alexandria. Energies are from GGA-PBE.

Properties
Offset from the most stable computed form (eV/f.u.): 0.28
E_form (uncorrected) (eV per formula unit): 0.97
Fermi-level density of states (states/eV/atom): 0.891

Unit cell a=6.595 b=6.595 c=8.291 alpha=66.56 beta=66.56 gamma=90.00
Element x y z (fractional)
I (0.000, 0.000, 0.000)
Sn (0.375, 0.458, 0.750)
Sn (0.208, 0.625, 0.250)
Zn (0.500, 0.500, 0.000)
Sn (0.542, 0.125, 0.250)
Sn (0.875, 0.792, 0.750)
I (0.750, 0.250, 0.500)
Zn (0.250, 0.750, 0.500)

***

20.
Here is a geometry-optimized Zn3SnI9 structure from Alexandria. Energies are from GGA-PBE.

Properties
E_form (uncorrected) (eV per formula unit): -5.54
Fermi-level density of states (states/eV/atom): 0.579

Unit cell a=10.170 b=10.170 c=10.693 alpha=90.00 beta=90.00 gamma=92.52
Element x y z (fractional)
I (0.732, 0.001, 0.398)
Sn (0.298, 0.298, 0.500)
I (0.094, 0.906, 0.250)
I (0.379, 0.269, 0.210)
Zn (0.197, 0.807, 0.049)
I (0.269, 0.379, 0.790)
Zn (0.769, 0.769, 0.500)
I (0.343, 0.009, 0.541)
Zn (0.231, 0.231, 0.000)
I (0.999, 0.268, 0.102)
Zn (0.193, 0.803, 0.451)
I (0.001, 0.732, 0.602)
I (0.009, 0.343, 0.459)
Sn (0.702, 0.702, 0.000)
Zn (0.803, 0.193, 0.549)
I (0.393, 0.647, 0.056)
I (0.607, 0.353, 0.556)
Zn (0.807, 0.197, 0.951)
I (0.906, 0.094, 0.750)
I (0.268, 0.999, 0.898)
I (0.621, 0.731, 0.710)
I (0.731, 0.621, 0.290)
I (0.657, 0.991, 0.041)
I (0.353, 0.607, 0.444)
I (0.647, 0.393, 0.944)
I (0.991, 0.657, 0.959)

***

no.,magnetization (μB/atom),calculated total energy (eV per atom)
1,0.616,-4.067
2,0.000,-4.401
3,0.632,-3.599
4,0.000,-6.423
5,0.354,-3.637
6,0.000,-6.674
7,0.987,-2.851
8,0.000,-4.957
9,0.000,-3.572
10,0.000,-4.849
11,0.000,-4.236
12,0.000,-3.685
13,0.000,-5.211
14,0.000,-3.301
15,0.000,-4.867
16,0.000,-3.950
17,0.000,-4.913
18,0.000,-1.747
19,0.000,-2.466
20,0.000,-2.101